1.
NaTlS3 | PBE | optimized geometry

## Properties
The symmetry is Pm-3m, No. 221. The total magnetization comes out at 0.00 μB per atom. The calculation puts the density of states at the Fermi level at 1.090 states/eV/atom. The energy above the most stable polymorph in this dataset comes out at 670 meV/atom.

Unit cell a=5.1861 b=5.1861 c=5.1861 alpha=90.00 beta=90.00 gamma=90.00
Fractional positions:
Tl1 0.0000 0.0000 0.0000
S1 0.0000 0.0000 0.5000
S2 0.5000 0.0000 0.0000
S3 0.0000 0.5000 0.0000
Na1 0.5000 0.5000 0.5000

2.
Ba4SrCa2 | PBE | optimized geometry

## Properties
The symmetry is I4/mmm, No. 139. The total magnetization comes out at 0.16 μB per atom. The calculation puts the density of states at the Fermi level at 1.965 states/eV/atom. For the formation energy, the calculation gives 435 meV/atom. The energy above the most stable polymorph in this dataset comes out at 412 meV/atom.

Unit cell a=6.7698 b=6.7698 c=11.1124 alpha=107.73 beta=107.73 gamma=90.00
Fractional positions:
Ca1 0.3972 0.3972 0.7945
Ca2 0.6028 0.6028 0.2055
Ba1 0.0000 0.5000 0.0000
Ba2 0.8124 0.8124 0.6249
Ba3 0.1876 0.1876 0.3751
Ba4 0.5000 0.0000 0.0000
Sr1 0.0000 0.0000 0.0000

3.
CsCd2As2 | PBE | optimized geometry

## Properties
The symmetry is P4/mbm, No. 127. The total magnetization comes out at 0.00 μB per atom. The calculation puts the density of states at the Fermi level at 0.454 states/eV/atom. For the formation energy, the calculation gives 15 meV/atom. The energy above the most stable polymorph in this dataset comes out at 281 meV/atom.

Unit cell a=8.9093 b=8.9093 c=3.3186 alpha=90.00 beta=90.00 gamma=90.00
Fractional positions:
As1 0.1625 0.6625 0.5000
As2 0.3375 0.1625 0.5000
As3 0.8375 0.3375 0.5000
As4 0.6625 0.8375 0.5000
Cd1 0.3758 0.8758 0.0000
Cd2 0.1242 0.3758 0.0000
Cd3 0.8758 0.6242 0.0000
Cd4 0.6242 0.1242 0.0000
Cs1 0.0000 0.0000 0.0000
Cs2 0.5000 0.5000 0.0000

Q: What is the total magnetization in the second record?
A: 0.16 μB per atom